[1]
LiNbIr2: optimized geometry, GGA-PBE.

Total DFT energy (no corrections) (eV/atom): -7.445
Relative energy among the computed polymorphs (meV per atom): 464.5

```
LiNbIr2
1.0
4.1843 0.0000 0.0000
-2.0922 3.6237 0.0000
0.0000 0.0000 8.1449
Li Nb Ir
2 2 4
Cartesian
0.0000 0.0000 2.0362
0.0000 0.0000 6.1087
0.0000 2.4158 2.0362
2.0922 1.2079 6.1087
0.0000 2.4158 4.7856
0.0000 2.4158 7.4317
2.0922 1.2079 0.7131
2.0922 1.2079 3.3593
```



[2]
LiNb3Sb4Ir4: optimized geometry, GGA-PBE.

Total DFT energy (no corrections) (eV/atom): -7.564

```
LiNb3Sb4Ir4
1.0
-3.1231 3.1231 6.1970
3.1231 -3.1231 6.1970
3.1231 3.1231 -6.1970
Li Nb Sb Ir
1 3 4 4
Cartesian
0.0000 0.0000 0.0000
3.1231 0.0000 3.0985
0.0000 0.0000 6.1970
0.0000 3.1231 3.0985
3.1231 0.0000 0.0000
0.0000 0.0000 2.9278
0.0000 3.1231 0.0000
0.0000 0.0000 9.4663
1.4655 -1.4655 4.5729
1.6575 1.6575 1.6241
-1.4655 1.4655 4.5729
1.4655 1.4655 7.8211
```



[3]
LiNd2IrO6: optimized geometry, GGA-PBE.

Total DFT energy (no corrections) (eV/atom): -7.292

```
LiNd2IrO6
1.0
5.3954 0.0000 0.0000
0.0000 5.7423 0.0000
-5.3168 0.0000 7.7022
Li Nd Ir O
2 4 2 12
Cartesian
0.0000 0.0000 0.0000
-2.6584 2.8711 3.8511
-2.7337 0.4061 5.7627
-0.0753 2.4650 1.9116
0.1539 3.2772 5.7906
2.8123 5.3362 1.9395
0.0393 0.0000 3.8511
2.6977 2.8711 0.0000
-1.5838 1.1059 3.4912
-4.2422 1.7653 7.3423
-0.9639 4.0772 3.4670
-3.6223 4.5362 7.3181
0.5276 0.1454 1.9411
-2.1308 2.7257 5.7922
2.2095 3.0166 1.9100
-0.4490 5.5968 5.7611
3.7009 1.2061 0.3841
1.0425 1.6651 4.2352
4.3208 3.9770 0.3599
1.6624 4.6364 4.2110
```



[4]
Li3NiIr2: optimized geometry, GGA-PBE.

Total DFT energy (no corrections) (eV/atom): -4.989

```
Li3NiIr2
1.0
2.6375 0.0000 0.0000
-1.3188 2.2842 0.0000
0.0000 0.0000 12.7576
Li Ni Ir
3 1 2
Cartesian
0.0000 0.0000 0.0000
0.0000 1.5228 8.4163
1.3188 0.7614 4.3413
0.0000 0.0000 6.3788
0.0000 1.5228 2.1817
1.3188 0.7614 10.5759
```



[5]
Li3Ni2Ir: optimized geometry, GGA-PBE.

Total DFT energy (no corrections) (eV/atom): -4.367

```
Li3Ni2Ir
1.0
2.5909 0.0000 0.0000
-1.2955 2.2438 0.0000
0.0000 0.0000 12.4969
Li Ni Ir
3 2 1
Cartesian
0.0000 0.0000 0.0000
0.0000 1.4959 8.4242
1.2955 0.7479 4.0727
0.0000 1.4959 2.0282
1.2955 0.7479 10.4687
0.0000 0.0000 6.2484
```



[6]
Li4NiIrPb2: optimized geometry, GGA-PBE.

Total DFT energy (no corrections) (eV/atom): -3.865

```
Li4NiIrPb2
1.0
4.4843 0.0000 0.0000
0.0000 4.4843 0.0000
0.0000 0.0000 6.2971
Li Ni Ir Pb
4 1 1 2
Cartesian
0.0000 0.0000 0.0000
0.0000 2.2422 1.5655
2.2422 0.0000 4.7317
2.2422 2.2422 3.1486
2.2422 2.2422 0.0000
0.0000 0.0000 3.1486
0.0000 2.2422 4.7903
2.2422 0.0000 1.5068
```



[7]
LiNiIrPb: optimized geometry, GGA-PBE.

Total DFT energy (no corrections) (eV/atom): -4.892

```
LiNiIrPb
1.0
0.0000 3.0935 3.0935
3.0935 0.0000 3.0935
3.0935 3.0935 0.0000
Li Ni Ir Pb
1 1 1 1
Cartesian
0.0000 0.0000 0.0000
3.0935 3.0935 3.0935
4.6402 4.6402 4.6402
1.5467 1.5467 1.5467
```



[8]
LiNiSbIr: optimized geometry, GGA-PBE.

Total DFT energy (no corrections) (eV/atom): -5.155

```
LiNiSbIr
1.0
0.0000 3.0481 3.0481
3.0481 0.0000 3.0481
3.0481 3.0481 0.0000
Li Ni Sb Ir
1 1 1 1
Cartesian
0.0000 0.0000 0.0000
3.0481 3.0481 3.0481
1.5240 1.5240 1.5240
4.5721 4.5721 4.5721
```



[9]
LiSiNiIr: optimized geometry, GGA-PBE.

Total DFT energy (no corrections) (eV/atom): -6.044
Relative energy among the computed polymorphs (meV per atom): 0.0

```
LiSiNiIr
1.0
0.0000 2.8430 2.8430
2.8430 0.0000 2.8430
2.8430 2.8430 0.0000
Li Si Ni Ir
1 1 1 1
Cartesian
0.0000 0.0000 0.0000
2.8430 2.8430 2.8430
1.4215 1.4215 1.4215
4.2645 4.2645 4.2645
```



[10]
Li4NiSn2Ir: optimized geometry, GGA-PBE.

Total DFT energy (no corrections) (eV/atom): -4.134

```
Li4NiSn2Ir
1.0
4.3901 0.0000 0.0000
0.0000 4.3901 0.0000
0.0000 0.0000 6.1773
Li Ni Sn Ir
4 1 2 1
Cartesian
0.0000 0.0000 0.0000
0.0000 2.1951 1.5294
2.1951 0.0000 4.6479
2.1951 2.1951 3.0887
2.1951 2.1951 0.0000
0.0000 2.1951 4.6696
2.1951 0.0000 1.5078
0.0000 0.0000 3.0887
```



[11]
Li2Y2NiSn2Ir: optimized geometry, GGA-PBE.

Total DFT energy (no corrections) (eV/atom): -5.517

```
Li2Y2NiSn2Ir
1.0
4.6912 0.0000 0.0000
0.0000 4.6912 0.0000
0.0000 0.0000 6.6354
Li Y Ni Sn Ir
2 2 1 2 1
Cartesian
0.0000 0.0000 0.0000
2.3456 2.3456 3.3177
0.0000 2.3456 1.6290
2.3456 0.0000 5.0064
2.3456 2.3456 0.0000
0.0000 2.3456 4.9965
2.3456 0.0000 1.6389
0.0000 0.0000 3.3177
```



[12]
Li2Zn2NiSn2Ir: optimized geometry, GGA-PBE.

Total DFT energy (no corrections) (eV/atom): -3.917

```
Li2Zn2NiSn2Ir
1.0
4.4088 0.0000 0.0000
0.0000 4.4088 0.0000
0.0000 0.0000 6.2012
Li Zn Ni Sn Ir
2 2 1 2 1
Cartesian
0.0000 0.0000 0.0000
2.2044 2.2044 3.1006
0.0000 2.2044 1.5299
2.2044 0.0000 4.6713
2.2044 2.2044 0.0000
0.0000 2.2044 4.7111
2.2044 0.0000 1.4901
0.0000 0.0000 3.1006
```



[13]
LiTlNiIr: optimized geometry, GGA-PBE.

Total DFT energy (no corrections) (eV/atom): -4.540

```
LiTlNiIr
1.0
0.0000 3.0760 3.0760
3.0760 0.0000 3.0760
3.0760 3.0760 0.0000
Li Tl Ni Ir
1 1 1 1
Cartesian
0.0000 0.0000 0.0000
1.5380 1.5380 1.5380
3.0760 3.0760 3.0760
4.6140 4.6140 4.6140
```



[14]
Li8IrO6: optimized geometry, GGA-PBE.

Total DFT energy (no corrections) (eV/atom): -5.230

```
Li8IrO6
1.0
2.7013 1.5596 4.9968
-2.7013 1.5596 4.9968
0.0000 -3.1192 4.9968
Li Ir O
8 1 6
Cartesian
-1.0302 -1.6430 5.7326
0.0000 0.0000 2.3985
-1.9380 0.0707 9.2577
-0.9078 1.7137 5.7326
0.9078 -1.7137 9.2577
1.9380 -0.0707 5.7326
0.0000 0.0000 12.5918
1.0302 1.6430 9.2577
0.0000 0.0000 7.4952
-1.6878 0.0442 6.2992
-0.8822 -1.4395 8.6911
0.8056 -1.4838 6.2992
-0.8056 1.4838 8.6911
0.8822 1.4395 6.2992
1.6878 -0.0442 8.6911
```



[15]
Li6Ir2O7: optimized geometry, GGA-PBE.

Total DFT energy (no corrections) (eV/atom): -5.693

```
Li6Ir2O7
1.0
5.0423 0.0000 0.0000
0.8259 5.0119 0.0000
0.0378 1.7508 5.6110
Li Ir O
6 2 7
Cartesian
0.6267 2.1246 2.4721
2.4275 4.0707 1.7753
2.4884 5.0674 4.6394
3.4176 1.6954 0.9716
3.4785 2.6920 3.8357
5.2793 4.6381 3.1388
0.8851 2.8289 5.2500
5.0210 3.9339 0.3610
0.8831 6.2933 4.1758
1.5609 2.6675 0.6838
1.7390 3.4785 3.5702
2.5212 0.0000 0.0000
4.1671 3.2842 2.0408
4.3452 4.0952 4.9272
5.0230 0.4694 1.4352
```



[16]
Li5IrO5: optimized geometry, GGA-PBE.

Total DFT energy (no corrections) (eV/atom): -5.488

```
Li5IrO5
1.0
4.8709 -1.9137 0.0000
4.8709 1.9137 0.0000
-1.8107 0.0000 5.5332
Li Ir O
5 1 5
Cartesian
0.0000 0.0000 0.0000
2.5305 0.0000 0.8400
1.7923 0.0000 3.5504
6.1387 0.0000 1.9827
5.4005 0.0000 4.6932
-0.9054 0.0000 2.7666
0.8461 0.0000 1.7867
0.0080 0.0000 4.5529
3.9655 0.0000 2.7666
7.9230 0.0000 0.9803
7.0849 0.0000 3.7465
```



[17]
Li8Ir4O11: optimized geometry, GGA-PBE.

Total DFT energy (no corrections) (eV/atom): -5.897

```
Li8Ir4O11
1.0
5.0182 0.0000 0.0000
0.8434 5.0120 0.0000
0.8013 2.4150 8.4891
Li Ir O
8 4 11
Cartesian
0.0000 0.0000 0.0000
0.8081 3.2403 5.6247
1.5522 1.5204 3.6032
3.1998 3.8135 4.2208
3.3234 4.6472 1.4918
3.3385 2.8096 7.1979
5.0966 5.2425 7.8500
5.7869 4.2239 2.9139
1.7984 2.3166 0.8065
2.6600 5.5977 6.3560
4.8252 5.9585 5.1004
4.0469 1.9246 2.1243
1.5110 4.9477 4.7852
0.7170 0.8828 1.8313
1.8599 4.1535 7.5176
2.4328 3.1152 2.5600
2.4505 2.2347 5.3487
3.3852 6.2553 8.1501
4.0968 5.4013 3.2604
3.4251 1.1732 0.3186
4.8329 2.5301 3.8608
5.8147 6.7107 6.7035
5.1277 3.3569 1.0972
```



[18]
LiIrO4: optimized geometry, GGA-PBE.

Total DFT energy (no corrections) (eV/atom): -5.975
Relative energy among the computed polymorphs (meV per atom): 3.8

```
LiIrO4
1.0
3.2111 -3.1524 0.0000
3.2111 3.1524 0.0000
-0.0046 0.0000 3.1104
Li Ir O
1 1 4
Cartesian
0.0000 0.0000 0.0000
3.2091 0.0000 1.3956
3.2098 1.7614 1.6484
1.9601 0.0000 3.0592
4.4531 0.0000 3.0630
3.2098 -1.7614 1.6484
```



[19]
LiIr2O6: optimized geometry, GGA-PBE.

Total DFT energy (no corrections) (eV/atom): -6.308
Relative energy among the computed polymorphs (meV per atom): 0.0

```
LiIr2O6
1.0
2.6071 -4.5711 0.0000
2.6071 4.5711 0.0000
-1.4497 0.0000 4.5558
Li Ir O
1 2 6
Cartesian
0.0000 0.0000 0.0000
1.8822 0.5176 2.2779
1.8822 -2.5131 2.2779
0.8569 1.7611 1.2001
0.2508 0.7337 3.3174
1.2496 -1.0001 1.2257
2.9075 1.7611 3.3557
3.5136 0.7337 1.2383
2.5148 -1.0001 3.3300
```



[20]
Li4IrO5: optimized geometry, GGA-PBE.

Total DFT energy (no corrections) (eV/atom): -5.592

```
Li4IrO5
1.0
-3.3059 3.3059 1.9676
3.3059 -3.3059 1.9676
3.3059 3.3059 -1.9676
Li Ir O
4 1 5
Cartesian
2.0729 0.6762 0.0000
2.6297 -1.2330 1.9676
0.6762 4.5390 0.0000
1.2330 2.6297 1.9676
0.0000 0.0000 1.9676
0.0000 0.0000 0.0000
3.9258 1.4616 0.0000
1.4616 2.6861 0.0000
1.8443 0.6198 1.9676
-0.6198 1.8443 1.9676
```